No. 1
A relaxed CrCuSi2 crystal. Source: the Alexandria database, functional PBE.

a = 3.7833 Å, b = 3.7833 Å, c = 3.4874 Å
α = 90.00°, β = 90.00°, γ = 90.00°
Space group P4/mmm (No. 123)
Asymmetric unit:
Cr 0.0000 0.0000 0.0000 [1 per cell]
Cu 0.5000 0.5000 0.0000 [1 per cell]
Si 0.0000 0.5000 0.5000 [2 per cell]

Summary:
Formation energy (no corrections) = 0.02 eV per atom


No. 2
A relaxed KScTi crystal. Source: the Alexandria database, functional PBE.

a = 5.7173 Å, b = 5.7173 Å, c = 6.0515 Å
α = 90.00°, β = 90.00°, γ = 120.00°
Space group P6_3/mmc (No. 194)
Asymmetric unit:
K 0.0000 0.0000 0.0000 [2 per cell]
Sc 0.3333 0.6667 0.2500 [2 per cell]
Ti 0.3333 0.6667 0.7500 [2 per cell]

Summary:
Relative energy among the computed polymorphs = 2.28 eV/f.u.
ΔH_f (0 K) = 0.998 eV per atom


No. 3
A relaxed KGa2GeS6 crystal. Source: the Alexandria database, functional PBE.

a = 13.0870 Å, b = 12.5128 Å, c = 7.7724 Å
α = 90.00°, β = 121.29°, γ = 90.00°
Space group C2/c (No. 15)
Asymmetric unit:
K 0.0000 0.1630 0.2500 [4 per cell]
Ga 0.1845 0.4254 0.0730 [8 per cell]
Ge 0.0000 0.1721 0.7500 [4 per cell]
S 0.1158 0.0615 0.6896 [8 per cell]
S 0.1197 0.4535 0.3192 [8 per cell]
S 0.1241 0.2512 0.0424 [8 per cell]

Summary:
Formation energy (no corrections) = -0.52 eV per atom


No. 4
A relaxed SrCaHg3 crystal. Source: the Alexandria database, functional PBE.

a = 4.0466 Å, b = 29.8772 Å, c = 4.9076 Å
α = 90.00°, β = 90.00°, γ = 90.00°
Space group Cmcm (No. 63)
Asymmetric unit:
Sr 0.0000 0.0747 0.2500 [4 per cell]
Ca 0.0000 0.2082 0.7500 [4 per cell]
Hg 0.0000 0.3164 0.7500 [4 per cell]
Hg 0.0000 0.3757 0.2500 [4 per cell]
Hg 0.0000 0.4740 0.2500 [4 per cell]

Summary:
Relative energy among the computed polymorphs = 0.00 eV/f.u.
ΔH_f (0 K) = -0.497 eV per atom


No. 5
A relaxed HfZr3In4 crystal. Source: the Alexandria database, functional PBE.

a = 3.8072 Å, b = 3.8072 Å, c = 12.3112 Å
α = 90.00°, β = 90.00°, γ = 90.00°
Space group P4/mmm (No. 123)
Asymmetric unit:
Hf 0.0000 0.0000 0.0000 [1 per cell]
Zr 0.0000 0.0000 0.2490 [2 per cell]
Zr 0.0000 0.0000 0.5000 [1 per cell]
In 0.5000 0.5000 0.1236 [2 per cell]
In 0.5000 0.5000 0.3747 [2 per cell]

Summary:
ΔH_f (0 K) = -0.162 eV per atom


No. 6
A relaxed Sm3Y2Tm crystal. Source: the Alexandria database, functional PBE.

a = 17.8316 Å, b = 7.2269 Å, c = 6.2665 Å
α = 90.00°, β = 103.52°, γ = 90.00°
Space group C2/c (No. 15)
Asymmetric unit:
Sm 0.0000 0.1262 0.2500 [4 per cell]
Sm 0.1666 0.1253 0.0244 [8 per cell]
Y 0.1660 0.3759 0.5292 [8 per cell]
Tm 0.0000 0.3766 0.7500 [4 per cell]

Summary:
ΔH_f (0 K) = 0.006 eV per atom


No. 7
A relaxed Hf3Te crystal. Source: the Alexandria database, functional PBE.

a = 3.5171 Å, b = 9.5873 Å, c = 5.2686 Å
α = 90.00°, β = 90.00°, γ = 90.00°
Space group Imm2 (No. 44)
Asymmetric unit:
Hf 0.0000 0.0000 0.0000 [2 per cell]
Hf 0.0000 0.2424 0.3826 [4 per cell]
Te 0.0000 0.5000 0.0272 [2 per cell]

Summary:
Formation energy (no corrections) = -0.22 eV per atom


No. 8
A relaxed InBi5Pd3 crystal. Source: the Alexandria database, functional PBE.

a = 11.6026 Å, b = 9.5017 Å, c = 10.7698 Å
α = 90.00°, β = 122.40°, γ = 90.00°
Space group C2/m (No. 12)
Asymmetric unit:
In 0.0440 0.0000 0.2788 [4 per cell]
Bi 0.0000 0.3006 0.0000 [4 per cell]
Bi 0.0503 0.5000 0.3674 [4 per cell]
Bi 0.1845 0.2319 0.6002 [8 per cell]
Bi 0.2415 0.5000 0.9905 [4 per cell]
Pd 0.0000 0.0000 0.0000 [2 per cell]
Pd 0.0000 0.0000 0.5000 [2 per cell]
Pd 0.1844 0.5000 0.2166 [4 per cell]
Pd 0.2246 0.5000 0.7264 [4 per cell]

Summary:
ΔH_f (0 K) = -0.122 eV per atom


No. 9
A relaxed SrP2H2O8 crystal. Source: the Alexandria database, functional PBE.

a = 6.8708 Å, b = 7.0777 Å, c = 7.8943 Å
α = 104.02°, β = 95.61°, γ = 108.86°
Space group P-1 (No. 2)
Asymmetric unit:
Sr 0.2363 0.2131 0.3984 [2 per cell]
P 0.2042 0.3060 0.9153 [2 per cell]
P 0.2639 0.7824 0.6009 [2 per cell]
H 0.1468 0.6410 0.8194 [2 per cell]
H 0.4587 0.1039 0.7576 [2 per cell]
O 0.0099 0.8752 0.1403 [2 per cell]
O 0.1108 0.7163 0.7321 [2 per cell]
O 0.1392 0.8642 0.4860 [2 per cell]
O 0.1811 0.5206 0.9467 [2 per cell]
O 0.2968 0.2821 0.0912 [2 per cell]
O 0.3351 0.2830 0.7689 [2 per cell]
O 0.3420 0.6114 0.5161 [2 per cell]
O 0.4765 0.9664 0.7144 [2 per cell]

Summary:
E_tot = -6.378 eV per atom


No. 10
A relaxed Li4Cd3 crystal. Source: the Alexandria database, functional PBE.

a = 3.0729 Å, b = 3.9041 Å, c = 21.6290 Å
α = 90.00°, β = 90.00°, γ = 90.00°
Space group Immm (No. 71)
Asymmetric unit:
Li 0.0000 0.0000 0.0726 [4 per cell]
Li 0.0000 0.0000 0.2137 [4 per cell]
Cd 0.0000 0.0000 0.3541 [4 per cell]
Cd 0.0000 0.0000 0.5000 [2 per cell]

Summary:
ΔH_f (0 K) = -0.229 eV per atom


No. 11
A relaxed ZrAu5 crystal. Source: the Alexandria database, functional PBE.

a = 4.9617 Å, b = 2.9328 Å, c = 15.3889 Å
α = 90.00°, β = 90.00°, γ = 90.00°
Space group Amm2 (No. 38)
Asymmetric unit:
Zr 0.0000 0.0000 0.0000 [2 per cell]
Au 0.0000 0.0000 0.3333 [2 per cell]
Au 0.0000 0.0000 0.6657 [2 per cell]
Au 0.5000 0.0000 0.1043 [2 per cell]
Au 0.5000 0.0000 0.4363 [2 per cell]
Au 0.5000 0.0000 0.7706 [2 per cell]

Summary:
ΔH_f (0 K) = -0.210 eV per atom


No. 12
A relaxed Na3Sn2Au2 crystal. Source: the Alexandria database, functional PBE.

a = 3.3613 Å, b = 4.9211 Å, c = 20.4317 Å
α = 90.00°, β = 90.00°, γ = 90.00°
Space group Immm (No. 71)
Asymmetric unit:
Na 0.0000 0.0000 0.0000 [2 per cell]
Na 0.0000 0.5000 0.2092 [4 per cell]
Sn 0.0000 0.0000 0.4238 [4 per cell]
Au 0.0000 0.5000 0.3611 [4 per cell]

Summary:
Relative energy among the computed polymorphs = 0.00 eV/f.u.
ΔH_f (0 K) = -0.241 eV per atom